(1)
This record from the Alexandria database describes NaInSb after structural relaxation. The functional is PBE.

```
NaInSb
1.0
-0.836 0.296 8.104
4.475 -0.274 0.472
1.224 9.603 -6.041
In Sb Na
4 4 4
Direct
0.946 0.500 0.856
0.054 0.500 0.144
0.054 0.000 0.644
0.946 0.000 0.356
0.284 0.000 0.315
0.716 0.000 0.685
0.716 0.500 0.185
0.284 0.500 0.815
0.650 0.500 0.436
0.650 0.000 0.936
0.350 0.000 0.064
0.350 0.500 0.564
```

Values from the calculation:
Its density of states at the Fermi level is 2.108 states/eV per cell. As for the space group: No. 12. For the uncorrected formation energy, the calculation gives -5.9 kcal/mol of atoms. The crystal system is monoclinic.

---

(2)
This record from the Alexandria database describes Ag6SnHg after structural relaxation. The functional is PBE.

```
Ag6SnHg
1.0
4.298 0.000 0.000
0.000 7.228 -4.139
0.000 -1.473 5.809
Ag Sn Hg
6 1 1
Direct
0.000 0.368 0.737
0.000 0.378 0.257
0.500 0.124 0.747
0.500 0.623 0.747
0.000 0.879 0.257
0.500 0.130 0.261
0.000 0.886 0.772
0.500 0.612 0.224
```

Values from the calculation:
Its density of states at the Fermi level is 1.760 states/eV per cell. As for the space group: No. 38. The value obtained for the uncorrected energy is -21.15 eV per formula unit. The crystal system is orthorhombic.

---

(3)
This record from the Alexandria database describes BaReAs2Se after structural relaxation. The functional is PBE.

```
BaReAs2Se
1.0
-0.571 -4.817 -2.597
2.458 -2.558 4.205
-5.009 -0.742 2.476
Re Se Ba As
1 1 1 2
Direct
0.500 0.500 0.500
0.000 0.000 0.500
0.000 0.000 0.000
0.000 0.500 0.000
0.500 0.000 0.000
```

Values from the calculation:
Its density of states at the Fermi level is 14.166 states/eV per cell. As for the space group: No. 123. Its distance to the lowest polymorph of the same formula is 2749 meV/atom. For the uncorrected formation energy, the calculation gives 55.6 kcal/mol of atoms. The crystal system is tetragonal.